# RbTe2P

RbTe2P after structural relaxation (GGA-PBEsol, Alexandria via LeMat-Bulk).

Unit cell a=7.2679 b=7.2679 c=7.2679 alpha=110.62 beta=108.90 gamma=108.90
Atoms (fractional coordinates):
Rb 0.5000 0.7500 0.2500
Rb 0.0000 0.0000 0.0000
Te 0.8905 0.5155 0.1250
Te 0.1095 0.2345 0.6250
Te 0.6095 0.3750 0.4845
Te 0.3905 0.8750 0.7655
P 0.0000 0.5000 0.5000
P 0.5000 0.2500 0.7500

Computed properties:
- uncorrected formation energy (eV per atom) = -0.1684
- crystal system = tetragonal



# BeCd2Pt

BeCd2Pt after structural relaxation (GGA-PBEsol, Alexandria via LeMat-Bulk).

Unit cell a=2.9220 b=4.8032 c=4.8032 alpha=109.57 beta=90.00 gamma=90.00
Atoms (fractional coordinates):
Be 0.5000 0.5000 0.5000
Cd 0.0000 0.0000 0.5000
Cd 0.0000 0.5000 0.0000
Pt 0.5000 0.0000 0.0000

Computed properties:
- energy of formation from the pure elements (meV per atom) = 50
- crystal system = orthorhombic



# LaGaSbI2

LaGaSbI2 after structural relaxation (GGA-PBEsol, Alexandria via LeMat-Bulk).

Unit cell a=6.1153 b=6.1153 c=6.1051 alpha=90.00 beta=90.00 gamma=90.00
Atoms (fractional coordinates):
La 0.0000 0.0000 0.0000
I 0.5000 0.0000 0.0000
I 0.0000 0.5000 0.0000
Sb 0.0000 0.0000 0.5000
Ga 0.5000 0.5000 0.5000

Computed properties:
- uncorrected formation energy (eV per atom) = -0.2650
- crystal system = tetragonal



# MnTlTe2

MnTlTe2 after structural relaxation (GGA-PBEsol, Alexandria via LeMat-Bulk).

Unit cell a=5.2434 b=5.2434 c=5.2434 alpha=60.00 beta=60.00 gamma=60.00
Atoms (fractional coordinates):
Te 0.7500 0.7500 0.7500
Te 0.2500 0.2500 0.2500
Mn 0.0000 0.0000 0.0000
Tl 0.5000 0.5000 0.5000

Computed properties:
- uncorrected formation energy (eV per atom) = 0.2626
- crystal system = cubic



# VP6W3O24

VP6W3O24 after structural relaxation (GGA-PBEsol, Alexandria via LeMat-Bulk).

Unit cell a=8.6209 b=8.6209 c=8.8686 alpha=60.92 beta=60.92 gamma=60.00
Atoms (fractional coordinates):
O 0.5713 0.4191 0.2227
O 0.0725 0.9447 0.2769
O 0.5791 0.2138 0.7733
O 0.6427 0.7687 0.5817
O 0.2918 0.9298 0.7254
O 0.4999 0.7149 0.9190
O 0.7149 0.8662 0.9190
O 0.2138 0.4338 0.7733
O 0.9909 0.3549 0.4194
O 0.7059 0.0725 0.2769
O 0.7870 0.5713 0.2227
O 0.9447 0.7059 0.2769
O 0.4338 0.5791 0.7733
O 0.0069 0.6427 0.5817
O 0.2792 0.1373 0.0800
O 0.8662 0.4999 0.9190
O 0.5035 0.2792 0.0800
O 0.9298 0.0530 0.7254
O 0.0530 0.2918 0.7254
O 0.2348 0.9909 0.4194
O 0.1373 0.5035 0.0800
O 0.7687 0.0069 0.5817
O 0.4191 0.7870 0.2227
O 0.3549 0.2348 0.4194
P 0.2499 0.9674 0.2549
P 0.5278 0.2499 0.2549
P 0.0353 0.4620 0.7478
P 0.9674 0.5278 0.2549
P 0.4620 0.7549 0.7478
P 0.7549 0.0353 0.7478
W 0.3581 0.3581 0.9256
W 0.8573 0.8573 0.4282
W 0.6428 0.6428 0.0716
V 0.1429 0.1429 0.5713

Computed properties:
- uncorrected formation energy (eV per atom) = -2.1370
- crystal system = trigonal



# YMg2Cu2

YMg2Cu2 after structural relaxation (GGA-PBEsol, Alexandria via LeMat-Bulk).

Unit cell a=3.8738 b=3.9357 c=12.5953 alpha=90.00 beta=98.85 gamma=90.00
Atoms (fractional coordinates):
Cu 0.1725 0.7500 0.3450
Cu 0.8275 0.2500 0.6550
Cu 0.5254 0.2500 0.0509
Cu 0.4746 0.7500 0.9491
Mg 0.7500 0.7500 0.4999
Mg 0.9458 0.2500 0.8916
Mg 0.2500 0.2500 0.5001
Mg 0.0542 0.7500 0.1084
Y 0.3633 0.7500 0.7266
Y 0.6367 0.2500 0.2734

Computed properties:
- energy of formation from the pure elements (meV per atom) = -106
- ΔE to the lowest computed polymorph (eV/atom) = 0.022
- crystal system = orthorhombic



# Ho2ZnOs

Ho2ZnOs after structural relaxation (GGA-PBEsol, Alexandria via LeMat-Bulk).

Unit cell a=4.8036 b=4.8036 c=4.8036 alpha=60.00 beta=60.00 gamma=60.00
Atoms (fractional coordinates):
Ho 0.2500 0.2500 0.2500
Ho 0.7500 0.7500 0.7500
Zn 0.0000 0.0000 0.0000
Os 0.5000 0.5000 0.5000

Computed properties:
- energy of formation from the pure elements (meV per atom) = -300
- crystal system = cubic



# SiAgMo2

SiAgMo2 after structural relaxation (GGA-PBEsol, Alexandria via LeMat-Bulk).

Unit cell a=4.3871 b=4.3871 c=4.3871 alpha=60.00 beta=60.00 gamma=60.00
Atoms (fractional coordinates):
Mo 0.7500 0.7500 0.7500
Mo 0.0000 0.0000 0.0000
Si 0.2500 0.2500 0.2500
Ag 0.5000 0.5000 0.5000

Computed properties:
- uncorrected formation energy (eV per atom) = 0.3252
- crystal system = cubic



# LiTc2Se

LiTc2Se after structural relaxation (GGA-PBEsol, Alexandria via LeMat-Bulk).

Unit cell a=3.2131 b=3.9712 c=4.4287 alpha=90.00 beta=90.00 gamma=90.00
Atoms (fractional coordinates):
Tc 0.0000 0.0000 0.0000
Tc 0.5000 0.5000 0.0000
Li 0.5000 0.0000 0.5000
Se 0.0000 0.5000 0.5000

Computed properties:
- uncorrected formation energy (eV per atom) = 0.2502
- crystal system = orthorhombic



# Al5CuSe8

Al5CuSe8 after structural relaxation (GGA-PBEsol, Alexandria via LeMat-Bulk).

Unit cell a=7.4263 b=7.4263 c=7.4263 alpha=60.00 beta=60.00 gamma=60.00
Atoms (fractional coordinates):
Al 0.3680 0.3680 0.8959
Al 0.3680 0.8959 0.3680
Al 0.8959 0.3680 0.3680
Al 0.3680 0.3680 0.3680
Al 0.7500 0.7500 0.7500
Cu 0.0000 0.0000 0.0000
Se 0.1304 0.6087 0.1304
Se 0.6160 0.1521 0.6160
Se 0.1304 0.1304 0.6087
Se 0.6160 0.6160 0.1521
Se 0.6160 0.6160 0.6160
Se 0.6087 0.1304 0.1304
Se 0.1304 0.1304 0.1304
Se 0.1521 0.6160 0.6160

Computed properties:
- uncorrected formation energy (eV per atom) = -0.7732
- crystal system = cubic



# Zr2MnTe

Zr2MnTe after structural relaxation (GGA-PBEsol, Alexandria via LeMat-Bulk).

Unit cell a=3.5254 b=3.5254 c=7.8259 alpha=76.98 beta=76.98 gamma=60.00
Atoms (fractional coordinates):
Zr 0.7615 0.7615 0.7155
Zr 0.2385 0.2385 0.2845
Mn 0.5000 0.5000 0.5000
Te 0.0000 0.0000 0.0000

Computed properties:
- uncorrected formation energy (eV per atom) = -0.1340
- crystal system = trigonal



# HoSn3

HoSn3 after structural relaxation (GGA-PBEsol, Alexandria via LeMat-Bulk).

Unit cell a=4.3598 b=4.3261 c=11.0688 alpha=90.00 beta=101.36 gamma=90.00
Atoms (fractional coordinates):
Sn 0.7348 0.5000 0.4695
Sn 0.9760 0.0000 0.9519
Sn 0.0986 0.5000 0.1971
Sn 0.8692 0.5000 0.7385
Sn 0.5980 0.0000 0.1960
Sn 0.3580 0.0000 0.7160
Ho 0.4823 0.5000 0.9647
Ho 0.2091 0.0000 0.4183

Computed properties:
- energy of formation from the pure elements (meV per atom) = -411
- crystal system = orthorhombic



# Fe2SiCl

Fe2SiCl after structural relaxation (GGA-PBEsol, Alexandria via LeMat-Bulk).

Unit cell a=2.6665 b=4.8367 c=4.8367 alpha=65.90 beta=74.00 gamma=74.00
Atoms (fractional coordinates):
Fe 0.7480 0.2520 0.2520
Fe 0.2520 0.7480 0.7480
Si 0.5000 0.0000 0.0000
Cl 0.0000 0.5000 0.5000

Computed properties:
- ΔE to the lowest computed polymorph (eV/atom) = 0.278
- uncorrected formation energy (eV per atom) = 0.3431
- crystal system = orthorhombic



# Hf2MgBe2

Hf2MgBe2 after structural relaxation (GGA-PBEsol, Alexandria via LeMat-Bulk).

Unit cell a=3.7614 b=6.5097 c=6.5097 alpha=90.00 beta=90.00 gamma=90.00
Atoms (fractional coordinates):
Mg 0.0000 0.0000 0.0000
Mg 0.0000 0.5000 0.5000
Be 0.0000 0.6189 0.1189
Be 0.0000 0.3811 0.8811
Be 0.0000 0.8811 0.6189
Be 0.0000 0.1189 0.3811
Hf 0.5000 0.6679 0.8321
Hf 0.5000 0.1679 0.6679
Hf 0.5000 0.8321 0.3321
Hf 0.5000 0.3321 0.1679

Computed properties:
- energy of formation from the pure elements (meV per atom) = -14
- crystal system = tetragonal



# MnFeHgRu2

MnFeHgRu2 after structural relaxation (GGA-PBEsol, Alexandria via LeMat-Bulk).

Unit cell a=4.6037 b=4.8801 c=4.8801 alpha=90.00 beta=90.00 gamma=90.00
Atoms (fractional coordinates):
Mn 0.5000 0.5000 0.5000
Ru 0.0000 0.5000 0.0000
Ru 0.0000 0.0000 0.5000
Hg 0.0000 0.0000 0.0000
Fe 0.5000 0.0000 0.0000

Computed properties:
- energy of formation from the pure elements (meV per atom) = 2405
- crystal system = tetragonal



# ScCu5

ScCu5 after structural relaxation (GGA-PBEsol, Alexandria via LeMat-Bulk).

Unit cell a=3.7144 b=4.5250 c=5.2559 alpha=105.84 beta=90.00 gamma=114.23
Atoms (fractional coordinates):
Cu 0.8368 0.6737 0.6840
Cu 0.1632 0.3263 0.3160
Cu 0.1759 0.3519 0.8454
Cu 0.8241 0.6481 0.1546
Cu 0.5000 0.0000 0.0000
Sc 0.5000 0.0000 0.5000

Computed properties:
- energy of formation from the pure elements (meV per atom) = -73
- crystal system = monoclinic



# MoOsBr2

MoOsBr2 after structural relaxation (GGA-PBEsol, Alexandria via LeMat-Bulk).

Unit cell a=3.1386 b=4.1605 c=7.0218 alpha=95.19 beta=102.91 gamma=90.00
Atoms (fractional coordinates):
Br 0.6517 0.7154 0.3035
Br 0.3483 0.2846 0.6965
Mo 0.0000 0.5000 0.0000
Os 0.5000 0.0000 0.0000

Computed properties:
- ΔE to the lowest computed polymorph (eV/atom) = 0.417
- uncorrected formation energy (eV per atom) = 0.5327
- crystal system = monoclinic



# Cd2TcBrF

Cd2TcBrF after structural relaxation (GGA-PBEsol, Alexandria via LeMat-Bulk).

Unit cell a=4.5263 b=5.2516 c=5.2516 alpha=90.00 beta=90.00 gamma=90.00
Atoms (fractional coordinates):
Cd 0.0000 0.5000 0.0000
Cd 0.0000 0.0000 0.5000
F 0.5000 0.5000 0.5000
Br 0.5000 0.0000 0.0000
Tc 0.0000 0.0000 0.0000

Computed properties:
- uncorrected formation energy (eV per atom) = 0.2183
- crystal system = tetragonal



# Sc2Nb3Ge4

Sc2Nb3Ge4 after structural relaxation (GGA-PBEsol, Alexandria via LeMat-Bulk).

Unit cell a=6.7868 b=6.9583 c=13.1894 alpha=90.00 beta=90.00 gamma=90.00
Atoms (fractional coordinates):
Sc 0.5065 0.3237 0.9059
Sc 0.0065 0.1763 0.5941
Sc 0.9935 0.8237 0.0941
Sc 0.4935 0.6763 0.4059
Sc 0.5065 0.3237 0.5941
Sc 0.4935 0.6763 0.0941
Sc 0.0065 0.1763 0.9059
Sc 0.9935 0.8237 0.4059
Ge 0.5420 0.6105 0.7500
Ge 0.9580 0.1105 0.2500
Ge 0.3075 0.1486 0.7500
Ge 0.8182 0.4660 0.0398
Ge 0.8075 0.3514 0.7500
Ge 0.1925 0.6486 0.2500
Ge 0.6818 0.9660 0.5398
Ge 0.1818 0.5340 0.5398
Ge 0.1818 0.5340 0.9602
Ge 0.3182 0.0340 0.4602
Ge 0.6818 0.9660 0.9602
Ge 0.4580 0.3895 0.2500
Ge 0.0420 0.8895 0.7500
Ge 0.6925 0.8514 0.2500
Ge 0.3182 0.0340 0.0398
Ge 0.8182 0.4660 0.4602
Nb 0.3336 0.0105 0.2500
Nb 0.8336 0.4895 0.2500
Nb 0.1572 0.3289 0.3740
Nb 0.6664 0.9895 0.7500
Nb 0.1664 0.5105 0.7500
Nb 0.8428 0.6711 0.6260
Nb 0.3428 0.8289 0.8740
Nb 0.8428 0.6711 0.8740
Nb 0.3428 0.8289 0.6260
Nb 0.6572 0.1711 0.3740
Nb 0.1572 0.3289 0.1260
Nb 0.6572 0.1711 0.1260

Computed properties:
- energy of formation from the pure elements (meV per atom) = -790
- crystal system = orthorhombic



# HgTeAu2

HgTeAu2 after structural relaxation (GGA-PBEsol, Alexandria via LeMat-Bulk).

Unit cell a=4.8939 b=4.8939 c=4.8939 alpha=60.00 beta=60.00 gamma=60.00
Atoms (fractional coordinates):
Te 0.2500 0.2500 0.2500
Hg 0.5000 0.5000 0.5000
Au 0.7500 0.7500 0.7500
Au 0.0000 0.0000 0.0000

Computed properties:
- ΔE to the lowest computed polymorph (eV/atom) = 0.044
- uncorrected formation energy (eV per atom) = 0.2664
- crystal system = cubic



# Ba3InRu2O9

Ba3InRu2O9 after structural relaxation (GGA-PBEsol, Alexandria via LeMat-Bulk).

Unit cell a=5.8104 b=5.8104 c=14.2194 alpha=90.00 beta=90.00 gamma=120.00
Atoms (fractional coordinates):
Ba 0.0000 0.0000 0.7500
Ba 0.6667 0.3333 0.0890
Ba 0.6667 0.3333 0.4110
Ba 0.3333 0.6667 0.5890
Ba 0.0000 0.0000 0.2500
Ba 0.3333 0.6667 0.9110
O 0.5101 0.4899 0.7500
O 0.6524 0.8262 0.4141
O 0.8262 0.1738 0.5859
O 0.6524 0.8262 0.0859
O 0.4899 0.5101 0.2500
O 0.3476 0.1738 0.9141
O 0.1738 0.3476 0.0859
O 0.1738 0.3476 0.4141
O 0.1738 0.8262 0.4141
O 0.5101 0.0203 0.7500
O 0.1738 0.8262 0.0859
O 0.3476 0.1738 0.5859
O 0.8262 0.6524 0.9141
O 0.4899 0.9797 0.2500
O 0.8262 0.6524 0.5859
O 0.9797 0.4899 0.7500
O 0.0203 0.5101 0.2500
O 0.8262 0.1738 0.9141
Ru 0.6667 0.3333 0.6636
Ru 0.3333 0.6667 0.1636
Ru 0.6667 0.3333 0.8364
Ru 0.3333 0.6667 0.3364
In 0.0000 0.0000 0.5000
In 0.0000 0.0000 0.0000

Computed properties:
- uncorrected formation energy (eV per atom) = -1.9143
- crystal system = hexagonal



# RbYAg2C

RbYAg2C after structural relaxation (GGA-PBEsol, Alexandria via LeMat-Bulk).

Unit cell a=5.2015 b=5.2015 c=6.0940 alpha=90.00 beta=90.00 gamma=90.00
Atoms (fractional coordinates):
Rb 0.0000 0.0000 0.0000
Ag 0.0000 0.5000 0.0000
Ag 0.5000 0.0000 0.0000
C 0.5000 0.5000 0.5000
Y 0.0000 0.0000 0.5000

Computed properties:
- energy of formation from the pure elements (meV per atom) = 2760
- crystal system = tetragonal



# ErMgAu

ErMgAu after structural relaxation (GGA-PBEsol, Alexandria via LeMat-Bulk).

Unit cell a=3.9989 b=7.4730 c=7.4730 alpha=120.00 beta=90.00 gamma=90.00
Atoms (fractional coordinates):
Er 0.5000 0.5886 0.0000
Er 0.5000 0.0000 0.5886
Er 0.5000 0.4114 0.4114
Au 0.0000 0.3333 0.6667
Au 0.5000 0.0000 0.0000
Au 0.0000 0.6667 0.3333
Mg 0.0000 0.7515 0.7515
Mg 0.0000 0.0000 0.2485
Mg 0.0000 0.2485 0.0000

Computed properties:
- energy of formation from the pure elements (meV per atom) = -690
- crystal system = hexagonal



Number 1: E_tot -0.134 hartree per atom. Number 2: E_tot -0.121 hartree per atom. Number 3: E_tot -0.133 hartree per atom. Number 4: E_tot -0.169 hartree per atom. Number 5: E_tot -0.307 hartree per atom. Number 6: E_tot -0.143 hartree per atom. Number 7: E_tot -0.229 hartree per atom. Number 8: E_tot -0.287 hartree per atom. Number 9: E_tot -0.251 hartree per atom. Number 10: E_tot -0.174 hartree per atom. Number 11: E_tot -0.294 hartree per atom. Number 12: E_tot -0.178 hartree per atom. Number 13: E_tot -0.223 hartree per atom. Number 14: E_tot -0.226 hartree per atom. Number 15: E_tot -0.203 hartree per atom. Number 16: E_tot -0.176 hartree per atom. Number 17: E_tot -0.235 hartree per atom. Number 18: E_tot -0.120 hartree per atom. Number 19: E_tot -0.296 hartree per atom. Number 20: E_tot -0.100 hartree per atom. Number 21: E_tot -0.259 hartree per atom. Number 22: E_tot -0.076 hartree per atom. Number 23: E_tot -0.155 hartree per atom.